This record from the Alexandria database describes YCO2 after structural relaxation. The functional is PBE-GGA.

Summary:
Uncorrected formation energy, eV per atom: 0.7249

Lattice parameters (Å, degrees): 3.0466 3.0466 18.6874 90.00 90.00 120.00
With the nearest neighbours (Å) after each atom.
Space group R-3m (No. 166, hexagonal axes)
Symmetry-distinct sites (fractional):
Y (0.0000, 0.0000, 0.0000) x3  2 O 2.16
C (0.0000, 0.0000, 0.5000) x3  6 O 2.00
O (0.0000, 0.0000, 0.1157) x6  3 C 2.00, 1 Y 2.16